CoAg2O2 after structural relaxation. Source: OQMD, functional GGA+U.

a = 4.9967 Å, b = 2.8859 Å, c = 8.3408 Å
α = 90.00°, β = 101.61°, γ = 90.00°
Closest atoms and distances in Å follow each position.
Space group C2/m (No. 12)
Inequivalent atoms, fractional coordinates:
Co 0.0000 0.0000 0.0000 [2 per cell]  6 O 1.94
Ag 0.2141 0.0000 0.6411 [4 per cell]  3 O 2.55-2.56, 3 Ag 2.84
O 0.1258 0.5000 0.8788 [4 per cell]  3 Co 1.94

Values from the calculation:
- Final energy: -4.631 eV/atom
- Total moment: 0.0 μB/cell